Material: MnPbCl2
Method: DFT, meta-GGA SCAN
State: single point on PBEsol structure

```
4
Lattice="5.3982 -1.6863 0.0000 5.3982 1.6863 0.0000 -2.2934 0.0000 4.9393" Properties=species:S:1:pos:R:3 pbc="T T T"
Mn 0.0000 0.0000 0.0000
Pb 1.7107 0.0000 2.7235
Cl 4.1517 0.0000 1.2523
Cl 4.7839 0.0000 4.4953
```

Uncorrected formation energy ... -0.821 eV/atom

Material: MnPbCl2
Method: DFT, meta-GGA SCAN
State: single point on PBEsol structure

```
4
Lattice="1.8099 1.0449 8.2271 -1.8099 1.0449 8.2271 0.0000 -2.0898 8.2271" Properties=species:S:1:pos:R:3 pbc="T T T"
Mn 0.0000 0.0000 0.0000
Pb 0.0000 0.0000 6.1901
Cl 0.0000 0.0000 12.4428
Cl 0.0000 0.0000 17.6754
```

Uncorrected formation energy ... -0.684 eV/atom

Material: MnPd3Cl
Method: DFT, meta-GGA SCAN
State: single point on PBEsol structure

```
5
Lattice="4.4457 0.0000 0.0000 0.0000 4.4457 0.0000 0.0000 0.0000 4.4457" Properties=species:S:1:pos:R:3 pbc="T T T"
Mn 0.0000 0.0000 0.0000
Pd 0.0000 2.2229 2.2229
Pd 2.2229 0.0000 2.2229
Pd 2.2229 2.2229 0.0000
Cl 2.2229 2.2229 2.2229
```

Uncorrected formation energy ... 0.377 eV/atom

For the records above, the corresponding relative energy among the computed polymorphs values read 0; 137; 0 meV/atom.
For the records above, the corresponding raw total energy values read -28.32; -28.18; -24.53 eV per atom.
For the records above, the corresponding N(E_F) values read 1.392; 1.581; 2.394 states/eV/cell.